[1]
The following is a PBE-GGA calculation of crystalline PuBMo at its relaxed geometry, from the Open Quantum Materials Database.

Unit cell a=4.132 b=4.132 c=4.132 alpha=60.00 beta=60.00 gamma=60.00
Last column: magnetic moment on the atom in μB.
Sites, in units of the cell vectors:
B1 0.250 0.250 0.250  0.04
Pu1 0.000 0.000 0.000  3.87
Mo1 0.750 0.750 0.750  -0.57

Computed properties:
Distance to the lowest polymorph of the same formula, eV per formula unit: 2.74
Space-group type: F-43m
Density, g/cm3: 11.7



[2]
The following is a PBE-GGA calculation of crystalline PuBMo at its relaxed geometry, from the Open Quantum Materials Database.

Unit cell a=4.030 b=4.030 c=4.030 alpha=60.00 beta=60.00 gamma=60.00
Last column: magnetic moment on the atom in μB.
Sites, in units of the cell vectors:
B1 0.000 0.000 0.000  0.01
Mo1 0.250 0.250 0.250  -0.53
Pu1 0.750 0.750 0.750  4.34

Computed properties:
Distance to the lowest polymorph of the same formula, eV per formula unit: 0.00
Space-group type: F-43m
Density, g/cm3: 12.6



[3]
The following is a PBE-GGA calculation of crystalline RbBMo at its relaxed geometry, from the Open Quantum Materials Database.

Unit cell a=5.023 b=5.023 c=5.023 alpha=60.00 beta=60.00 gamma=60.00
Sites, in units of the cell vectors:
Rb1 0.000 0.000 0.000
Mo1 0.750 0.750 0.750
B1 0.250 0.250 0.250

Computed properties:
Distance to the lowest polymorph of the same formula, eV per formula unit: 2.63
Space-group type: F-43m
Density, g/cm3: 3.6



[4]
The following is a PBE-GGA calculation of crystalline RbBMo at its relaxed geometry, from the Open Quantum Materials Database.

Unit cell a=4.361 b=4.361 c=4.361 alpha=60.00 beta=60.00 gamma=60.00
Sites, in units of the cell vectors:
Rb1 0.750 0.750 0.750
Mo1 0.250 0.250 0.250
B1 0.000 0.000 0.000

Computed properties:
Distance to the lowest polymorph of the same formula, eV per formula unit: 0.00
Space-group type: F-43m
Density, g/cm3: 5.4